Here is crystalline Ta2NiF at its relaxed geometry from the Alexandria database. Energies are from GGA+U.

a = 4.107 Å, b = 4.107 Å, c = 14.989 Å
α = 90.00°, β = 90.00°, γ = 90.00°
Space group I-42d (No. 122)
One atom of each set of equivalent atoms:
Ta 0.239 0.250 0.125 x8
Ni 0.000 0.000 0.500 x4
F 0.000 0.000 0.000 x4

Results
E (eV/atom): -6.5631